Record 1
First-principles (GGA-PBE) data for crystalline Tb3CeEr2Te6 at its relaxed geometry, as listed in the Alexandria database.

Unit cell a=4.345 b=8.810 c=9.764 alpha=102.49 beta=102.86 gamma=90.00
Last column: magnetic moment on the atom in μB.
Fractional coordinates of all 12 atoms:
Te  0.331  0.419  0.662  0.00
Te  0.671  0.089  0.343  0.00
Te  0.329  0.911  0.657  0.00
Te  0.998  0.742  0.995  -0.01
Te  0.669  0.581  0.338  0.00
Te  0.002  0.258  0.005  -0.01
Er  0.836  0.670  0.671  0.01
Er  0.164  0.330  0.329  0.01
Tb  0.838  0.166  0.677  0.03
Tb  0.500  0.500  0.000  0.01
Tb  0.162  0.834  0.323  0.03
Ce  0.500  0.000  0.000  0.94

## Properties
* uncorrected energy: -63.29 eV/cell
* mass density: 8.0 g cm⁻³
* uncorrected formation energy: -1.291 eV/atom

---

Record 2
First-principles (GGA-PBE) data for crystalline MgNiHIr2 at its relaxed geometry, as listed in the Alexandria database.

Unit cell a=3.878 b=3.878 c=3.911 alpha=90.00 beta=90.00 gamma=90.00
Fractional coordinates of all 5 atoms:
Mg  0.000  0.000  0.500
H  0.000  0.000  0.000
Ir  0.000  0.500  0.000
Ir  0.500  0.000  0.000
Ni  0.500  0.500  0.500

## Properties
* uncorrected energy: -28.62 eV/cell
* mass density: 13.2 g cm⁻³
* ΔE to the lowest computed polymorph: 45.6 meV/atom

---

Record 3
First-principles (GGA-PBE) data for crystalline ReNiHg2 at its relaxed geometry, as listed in the Alexandria database.

Unit cell a=4.598 b=4.598 c=4.598 alpha=60.00 beta=60.00 gamma=60.00
Last column: magnetic moment on the atom in μB.
Fractional coordinates of all 4 atoms:
Ni  0.000  0.000  0.000  0.25
Re  0.500  0.500  0.500  1.68
Hg  0.250  0.250  0.250  0.02
Hg  0.750  0.750  0.750  0.02

## Properties
* energy of formation from the pure elements: 351 kJ/mol of formula units
* uncorrected energy: -15.20 eV/cell
* mass density: 15.6 g cm⁻³
* ΔE to the lowest computed polymorph: 479.2 meV/atom